Material: Cu2SbPb
Method: DFT, PBE
State: optimized geometry

Calculated volume: 164.8 Å³/cell
Raw formation energy: 0.313 eV/atom
Space group: I-4m2, No. 119
Total energy: -3.693 eV/atom

CIF file:
```
data_Cu2SbPb
_cell_length_a 4.001
_cell_length_b 4.001
_cell_length_c 10.291
_cell_angle_alpha 90.00
_cell_angle_beta 90.00
_cell_angle_gamma 90.00
_space_group_name_H-M_alt 'P 1'
_space_group_IT_number 1
loop_
_space_group_symop_operation_xyz
'x,y,z'
loop_
_atom_site_label
_atom_site_fract_x
_atom_site_fract_y
_atom_site_fract_z
_atom_site_occupancy
Cu1 0.000 0.000 0.000 1
Cu2 0.000 0.500 0.250 1
Cu3 0.500 0.000 0.750 1
Cu4 0.500 0.500 0.500 1
Sb1 0.000 0.000 0.500 1
Sb2 0.500 0.500 0.000 1
Pb1 0.000 0.500 0.750 1
Pb2 0.500 0.000 0.250 1
```

Material: Cu2SbPb
Method: DFT, PBE
State: optimized geometry

Calculated volume: 278.0 Å³/cell
Raw formation energy: 0.067 eV/atom
Space group: R3m, No. 160
Total energy: -3.939 eV/atom

CIF file:
```
data_Cu2SbPb
_cell_length_a 4.168
_cell_length_b 4.168
_cell_length_c 18.476
_cell_angle_alpha 90.00
_cell_angle_beta 90.00
_cell_angle_gamma 120.00
_space_group_name_H-M_alt 'P 1'
_space_group_IT_number 1
loop_
_space_group_symop_operation_xyz
'x,y,z'
loop_
_atom_site_label
_atom_site_fract_x
_atom_site_fract_y
_atom_site_fract_z
_atom_site_occupancy
Cu1 0.000 0.000 0.000 1
Cu2 0.000 0.000 0.321 1
Cu3 0.333 0.667 0.667 1
Cu4 0.333 0.667 0.988 1
Cu5 0.667 0.333 0.333 1
Cu6 0.667 0.333 0.655 1
Sb1 0.000 0.000 0.732 1
Sb2 0.333 0.667 0.398 1
Sb3 0.667 0.333 0.065 1
Pb1 0.000 0.000 0.557 1
Pb2 0.333 0.667 0.224 1
Pb3 0.667 0.333 0.890 1
```